[1]
VASP calculation (PBE) on crystalline Ho6TmTl at its relaxed geometry.

Values from the calculation:
Energy relative to the elements = -0.07 eV/atom
Electronic total energy = -4.363 eV per atom
SG = P4/mmm (123)
Crystal system = tetragonal

a = 4.878 Å, b = 4.878 Å, c = 9.959 Å
α = 90.00°, β = 90.00°, γ = 90.00°
Element x y z (fractional)
Ho1 0.000 0.000 0.000
Ho2 0.000 0.000 0.500
Ho3 0.000 0.500 0.247
Ho4 0.000 0.500 0.753
Ho5 0.500 0.000 0.247
Ho6 0.500 0.000 0.753
Tm1 0.500 0.500 0.500
Tl1 0.500 0.500 0.000

[2]
VASP calculation (PBE) on crystalline Ho8Tm2Tl at its relaxed geometry.

Values from the calculation:
Energy relative to the elements = -0.03 eV/atom
Electronic total energy = -4.386 eV per atom
SG = C2/m (12)
Crystal system = monoclinic

a = 10.000 Å, b = 10.000 Å, c = 6.365 Å
α = 94.97°, β = 94.97°, γ = 31.99°
Element x y z (fractional)
Ho1 0.045 0.045 0.268
Ho2 0.155 0.155 0.800
Ho3 0.338 0.338 0.878
Ho4 0.421 0.421 0.403
Ho5 0.579 0.579 0.597
Ho6 0.662 0.662 0.122
Ho7 0.845 0.845 0.200
Ho8 0.955 0.955 0.732
Tm1 0.243 0.243 0.335
Tm2 0.757 0.757 0.665
Tl1 0.500 0.500 0.000

[3]
VASP calculation (PBE) on crystalline HoTmTl at its relaxed geometry.

Values from the calculation:
Energy relative to the elements = -0.23 eV/atom
Electronic total energy = -4.032 eV per atom
SG = I4mm (107)
Crystal system = tetragonal

a = 3.534 Å, b = 3.534 Å, c = 13.641 Å
α = 90.00°, β = 90.00°, γ = 90.00°
Element x y z (fractional)
Ho1 0.000 0.000 0.000
Ho2 0.500 0.500 0.500
Tm1 0.000 0.000 0.319
Tm2 0.500 0.500 0.819
Tl1 0.000 0.000 0.661
Tl2 0.500 0.500 0.161

[4]
VASP calculation (PBE) on crystalline HoTm4Tl at its relaxed geometry.

Values from the calculation:
Energy relative to the elements = 0.04 eV/atom
Electronic total energy = -4.093 eV per atom
SG = Cmc2_1 (36)
Crystal system = orthorhombic

a = 10.818 Å, b = 10.818 Å, c = 6.430 Å
α = 90.00°, β = 90.00°, γ = 150.81°
Element x y z (fractional)
Ho1 0.063 0.937 0.500
Ho2 0.937 0.063 0.000
Tm1 0.138 0.862 0.985
Tm2 0.256 0.744 0.622
Tm3 0.319 0.681 0.144
Tm4 0.461 0.539 0.324
Tm5 0.539 0.461 0.824
Tm6 0.681 0.319 0.644
Tm7 0.744 0.256 0.122
Tm8 0.862 0.138 0.485
Tl1 0.397 0.603 0.749
Tl2 0.603 0.397 0.249

[5]
VASP calculation (PBE) on crystalline Ho2Tm2Tl at its relaxed geometry.

Values from the calculation:
Energy relative to the elements = -0.04 eV/atom
Electronic total energy = -4.129 eV per atom
SG = C2/m (12)
Crystal system = monoclinic

a = 6.317 Å, b = 6.317 Å, c = 8.464 Å
α = 107.37°, β = 107.37°, γ = 98.59°
Element x y z (fractional)
Ho1 0.120 0.752 0.783
Ho2 0.248 0.880 0.217
Ho3 0.752 0.120 0.783
Ho4 0.880 0.248 0.217
Tm1 0.223 0.223 0.618
Tm2 0.339 0.339 0.073
Tm3 0.661 0.661 0.927
Tm4 0.777 0.777 0.382
Tl1 0.335 0.665 0.500
Tl2 0.665 0.335 0.500

[6]
VASP calculation (PBE) on crystalline Ho5TmTl8 at its relaxed geometry.

Values from the calculation:
Energy relative to the elements = -0.21 eV/atom
Electronic total energy = -3.516 eV per atom
SG = I-4 (82)
Crystal system = tetragonal

a = 7.996 Å, b = 7.996 Å, c = 7.996 Å
α = 109.33°, β = 109.33°, γ = 109.75°
Element x y z (fractional)
Ho1 0.000 0.000 0.000
Ho2 0.128 0.499 0.877
Ho3 0.501 0.378 0.630
Ho4 0.622 0.252 0.123
Ho5 0.748 0.872 0.370
Tm1 0.250 0.750 0.500
Tl1 0.037 0.290 0.412
Tl2 0.208 0.121 0.746
Tl3 0.375 0.462 0.254
Tl4 0.375 0.963 0.253
Tl5 0.538 0.792 0.912
Tl6 0.710 0.122 0.747
Tl7 0.878 0.625 0.588
Tl8 0.879 0.625 0.088

[7]
VASP calculation (PBE) on crystalline Ho6TmTl at its relaxed geometry.

Values from the calculation:
Energy relative to the elements = 0.02 eV/atom
Electronic total energy = -4.264 eV per atom
SG = R-3 (148)
Crystal system = trigonal

a = 6.266 Å, b = 6.266 Å, c = 6.266 Å
α = 93.71°, β = 93.71°, γ = 93.71°
Element x y z (fractional)
Ho1 0.035 0.544 0.757
Ho2 0.243 0.965 0.456
Ho3 0.456 0.243 0.965
Ho4 0.544 0.757 0.035
Ho5 0.757 0.035 0.544
Ho6 0.965 0.456 0.243
Tm1 0.500 0.500 0.500
Tl1 0.000 0.000 0.000

[8]
VASP calculation (PBE) on crystalline HoTm5Tl2 at its relaxed geometry.

Values from the calculation:
Energy relative to the elements = -0.10 eV/atom
Electronic total energy = -4.063 eV per atom
SG = Immm (71)
Crystal system = orthorhombic

a = 3.565 Å, b = 10.313 Å, c = 12.615 Å
α = 90.00°, β = 90.00°, γ = 90.00°
Element x y z (fractional)
Ho1 0.000 0.000 0.000
Ho2 0.500 0.500 0.500
Tm1 0.000 0.230 0.368
Tm2 0.000 0.230 0.632
Tm3 0.000 0.500 0.000
Tm4 0.000 0.770 0.368
Tm5 0.000 0.770 0.632
Tm6 0.500 0.000 0.500
Tm7 0.500 0.270 0.132
Tm8 0.500 0.270 0.868
Tm9 0.500 0.730 0.132
Tm10 0.500 0.730 0.868
Tl1 0.000 0.500 0.259
Tl2 0.000 0.500 0.741
Tl3 0.500 0.000 0.241
Tl4 0.500 0.000 0.759

[9]
VASP calculation (PBE) on crystalline Ho2Tm8Tl at its relaxed geometry.

Values from the calculation:
Energy relative to the elements = -0.03 eV/atom
Electronic total energy = -4.326 eV per atom
SG = C2/m (12)
Crystal system = monoclinic

a = 6.044 Å, b = 6.044 Å, c = 12.372 Å
α = 103.36°, β = 103.36°, γ = 47.75°
Element x y z (fractional)
Ho1 0.187 0.187 0.267
Ho2 0.813 0.813 0.733
Tm1 0.091 0.091 0.637
Tm2 0.261 0.261 0.911
Tm3 0.363 0.363 0.548
Tm4 0.462 0.462 0.178
Tm5 0.538 0.538 0.822
Tm6 0.637 0.637 0.452
Tm7 0.739 0.739 0.089
Tm8 0.909 0.909 0.363
Tl1 0.000 0.000 0.000

[10]
VASP calculation (PBE) on crystalline Ho2Tm3Tl at its relaxed geometry.

Values from the calculation:
Energy relative to the elements = -0.11 eV/atom
Electronic total energy = -4.263 eV per atom
SG = Cmmm (65)
Crystal system = orthorhombic

a = 4.811 Å, b = 14.926 Å, c = 4.829 Å
α = 90.00°, β = 90.00°, γ = 90.00°
Element x y z (fractional)
Ho1 0.000 0.162 0.000
Ho2 0.000 0.838 0.000
Ho3 0.500 0.338 0.000
Ho4 0.500 0.662 0.000
Tm1 0.000 0.000 0.500
Tm2 0.000 0.330 0.500
Tm3 0.000 0.670 0.500
Tm4 0.500 0.170 0.500
Tm5 0.500 0.500 0.500
Tm6 0.500 0.830 0.500
Tl1 0.000 0.500 0.000
Tl2 0.500 0.000 0.000

[11]
VASP calculation (PBE) on crystalline Ho2Tm7Tl2 at its relaxed geometry.

Values from the calculation:
Energy relative to the elements = -0.01 eV/atom
Electronic total energy = -4.121 eV per atom
SG = Imm2 (44)
Crystal system = orthorhombic

a = 10.998 Å, b = 10.998 Å, c = 10.998 Å
α = 161.10°, β = 55.28°, γ = 128.57°
Element x y z (fractional)
Ho1 0.000 0.000 0.000
Ho2 0.675 0.175 0.500
Tm1 0.005 0.637 0.368
Tm2 0.270 0.637 0.632
Tm3 0.349 0.349 0.000
Tm4 0.350 0.008 0.342
Tm5 0.666 0.008 0.658
Tm6 0.686 0.819 0.867
Tm7 0.953 0.819 0.133
Tl1 0.054 0.296 0.758
Tl2 0.537 0.296 0.242

[12]
VASP calculation (PBE) on crystalline HoTm9Tl2 at its relaxed geometry.

Values from the calculation:
Energy relative to the elements = -0.10 eV/atom
Electronic total energy = -4.229 eV per atom
SG = P4/mmm (123)
Crystal system = tetragonal

a = 4.815 Å, b = 4.815 Å, c = 14.753 Å
α = 90.00°, β = 90.00°, γ = 90.00°
Element x y z (fractional)
Ho1 0.000 0.000 0.000
Tm1 0.000 0.500 0.171
Tm2 0.000 0.500 0.500
Tm3 0.000 0.500 0.829
Tm4 0.500 0.000 0.171
Tm5 0.500 0.000 0.500
Tm6 0.500 0.000 0.829
Tm7 0.500 0.500 0.000
Tm8 0.500 0.500 0.337
Tm9 0.500 0.500 0.663
Tl1 0.000 0.000 0.339
Tl2 0.000 0.000 0.661

[13]
VASP calculation (PBE) on crystalline Ho7TmTl3 at its relaxed geometry.

Values from the calculation:
Energy relative to the elements = 0.05 eV/atom
Electronic total energy = -3.919 eV per atom
SG = C2/m (12)
Crystal system = monoclinic

a = 7.899 Å, b = 7.899 Å, c = 5.970 Å
α = 106.42°, β = 106.42°, γ = 94.33°
Element x y z (fractional)
Ho1 0.000 0.000 0.000
Ho2 0.104 0.527 0.297
Ho3 0.325 0.325 0.843
Ho4 0.473 0.896 0.703
Ho5 0.527 0.104 0.297
Ho6 0.675 0.675 0.157
Ho7 0.896 0.473 0.703
Tm1 0.000 0.000 0.500
Tl1 0.266 0.734 0.000
Tl2 0.500 0.500 0.500
Tl3 0.734 0.266 0.000

[14]
VASP calculation (PBE) on crystalline HoTm2Tl2 at its relaxed geometry.

Values from the calculation:
Energy relative to the elements = -0.26 eV/atom
Electronic total energy = -3.910 eV per atom
SG = P2_1/m (11)
Crystal system = monoclinic

a = 3.731 Å, b = 5.339 Å, c = 13.960 Å
α = 90.00°, β = 97.71°, γ = 90.00°
Element x y z (fractional)
Ho1 0.149 0.250 0.300
Ho2 0.851 0.750 0.700
Tm1 0.049 0.750 0.099
Tm2 0.238 0.750 0.477
Tm3 0.762 0.250 0.523
Tm4 0.951 0.250 0.901
Tl1 0.356 0.250 0.710
Tl2 0.451 0.750 0.903
Tl3 0.549 0.250 0.097
Tl4 0.644 0.750 0.290

[15]
VASP calculation (PBE) on crystalline Ho12TmTl3 at its relaxed geometry.

Values from the calculation:
Energy relative to the elements = -0.12 eV/atom
Electronic total energy = -4.280 eV per atom
SG = P4/mmm (123)
Crystal system = tetragonal

a = 4.840 Å, b = 4.840 Å, c = 19.716 Å
α = 90.00°, β = 90.00°, γ = 90.00°
Element x y z (fractional)
Ho1 0.000 0.000 0.000
Ho2 0.000 0.000 0.246
Ho3 0.000 0.000 0.500
Ho4 0.000 0.000 0.754
Ho5 0.000 0.500 0.123
Ho6 0.000 0.500 0.371
Ho7 0.000 0.500 0.629
Ho8 0.000 0.500 0.877
Ho9 0.500 0.000 0.123
Ho10 0.500 0.000 0.371
Ho11 0.500 0.000 0.629
Ho12 0.500 0.000 0.877
Tm1 0.500 0.500 0.500
Tl1 0.500 0.500 0.000
Tl2 0.500 0.500 0.244
Tl3 0.500 0.500 0.756

[16]
VASP calculation (PBE) on crystalline HoTmTl at its relaxed geometry.

Values from the calculation:
Energy relative to the elements = -0.03 eV/atom
Electronic total energy = -3.833 eV per atom
SG = F-43m (216)
Crystal system = cubic

a = 7.265 Å, b = 7.265 Å, c = 7.265 Å
α = 90.00°, β = 90.00°, γ = 90.00°
Element x y z (fractional)
Ho1 0.000 0.000 0.000
Ho2 0.000 0.500 0.500
Ho3 0.500 0.000 0.500
Ho4 0.500 0.500 0.000
Tm1 0.000 0.000 0.500
Tm2 0.000 0.500 0.000
Tm3 0.500 0.000 0.000
Tm4 0.500 0.500 0.500
Tl1 0.250 0.250 0.750
Tl2 0.250 0.750 0.250
Tl3 0.750 0.250 0.250
Tl4 0.750 0.750 0.750

[17]
VASP calculation (PBE) on crystalline Ho8Tm2Tl at its relaxed geometry.

Values from the calculation:
Energy relative to the elements = -0.03 eV/atom
Electronic total energy = -4.387 eV per atom
SG = C2/m (12)
Crystal system = monoclinic

a = 6.071 Å, b = 6.071 Å, c = 12.529 Å
α = 103.59°, β = 103.59°, γ = 47.46°
Element x y z (fractional)
Ho1 0.039 0.039 0.321
Ho2 0.137 0.137 0.953
Ho3 0.237 0.237 0.588
Ho4 0.408 0.408 0.862
Ho5 0.592 0.592 0.138
Ho6 0.763 0.763 0.412
Ho7 0.863 0.863 0.047
Ho8 0.961 0.961 0.679
Tm1 0.315 0.315 0.233
Tm2 0.685 0.685 0.767
Tl1 0.500 0.500 0.500

[18]
VASP calculation (PBE) on crystalline HoTm4Tl2 at its relaxed geometry.

Values from the calculation:
Energy relative to the elements = 0.11 eV/atom
Electronic total energy = -3.776 eV per atom
SG = R-3m (166)
Crystal system = trigonal

a = 10.032 Å, b = 10.032 Å, c = 10.032 Å
α = 29.97°, β = 29.97°, γ = 29.97°
Element x y z (fractional)
Ho1 0.000 0.000 0.000
Tm1 0.212 0.212 0.212
Tm2 0.381 0.381 0.381
Tm3 0.619 0.619 0.619
Tm4 0.788 0.788 0.788
Tl1 0.104 0.104 0.104
Tl2 0.896 0.896 0.896

[19]
VASP calculation (PBE) on crystalline Ho5TmTl at its relaxed geometry.

Values from the calculation:
Energy relative to the elements = 0.82 eV/atom
Electronic total energy = -3.423 eV per atom
SG = Imm2 (44)
Crystal system = orthorhombic

a = 8.414 Å, b = 11.422 Å, c = 5.876 Å
α = 90.00°, β = 90.00°, γ = 90.00°
Element x y z (fractional)
Ho1 0.000 0.000 0.000
Ho2 0.000 0.251 0.350
Ho3 0.000 0.749 0.350
Ho4 0.173 0.500 0.759
Ho5 0.327 0.000 0.259
Ho6 0.500 0.249 0.850
Ho7 0.500 0.500 0.500
Ho8 0.500 0.751 0.850
Ho9 0.673 0.000 0.259
Ho10 0.827 0.500 0.759
Tm1 0.000 0.000 0.506
Tm2 0.500 0.500 0.006
Tl1 0.000 0.500 0.231
Tl2 0.500 0.000 0.731

[20]
VASP calculation (PBE) on crystalline Ho6Tm12Tl at its relaxed geometry.

Values from the calculation:
Energy relative to the elements = 0.10 eV/atom
Electronic total energy = -4.298 eV per atom
SG = R-3 (148)
Crystal system = trigonal

a = 8.347 Å, b = 8.347 Å, c = 8.347 Å
α = 88.77°, β = 88.77°, γ = 88.77°
Element x y z (fractional)
Ho1 0.200 0.595 0.759
Ho2 0.241 0.800 0.405
Ho3 0.405 0.241 0.800
Ho4 0.595 0.759 0.200
Ho5 0.759 0.200 0.595
Ho6 0.800 0.405 0.241
Tm1 0.040 0.278 0.934
Tm2 0.066 0.960 0.722
Tm3 0.138 0.312 0.489
Tm4 0.278 0.934 0.040
Tm5 0.312 0.489 0.138
Tm6 0.489 0.138 0.312
Tm7 0.511 0.862 0.688
Tm8 0.688 0.511 0.862
Tm9 0.722 0.066 0.960
Tm10 0.862 0.688 0.511
Tm11 0.934 0.040 0.278
Tm12 0.960 0.722 0.066
Tl1 0.500 0.500 0.500